Entry 1:
The following is a DFT calculation (PBE-GGA) of an optimized crystal structure of Ce4In5Ir2.

POSCAR file:
```
Ce4In5Ir2
1.0
-0.855 -1.205 -3.368
7.289 -2.815 -0.843
-3.496 -8.262 3.844
Ir Ce In
2 4 5
Direct
0.000 0.081 0.643
0.000 0.919 0.357
0.500 0.216 0.442
0.500 0.822 0.149
0.500 0.784 0.558
0.500 0.178 0.851
0.000 0.542 0.325
0.000 0.458 0.675
0.000 0.176 0.150
0.000 0.824 0.850
0.000 0.500 0.000
```

As for the space group: No. 10. Its total magnetization is 1.5 Bohr magnetons per cell. Its density is 8963 kg/m3. For the formation energy from the elements, the calculation gives -0.5371 eV/atom.

=====

Entry 2:
The following is a DFT calculation (PBE-GGA) of an optimized crystal structure of Ce2In8Ir.

POSCAR file:
```
Ce2In8Ir
1.0
-2.678 -3.790 -0.830
2.759 -1.151 -3.646
7.089 -6.644 7.461
Ce In Ir
2 8 1
Direct
0.000 0.000 0.695
0.000 0.000 0.305
0.500 0.500 0.308
0.000 0.500 0.122
0.500 0.000 0.878
0.500 0.000 0.500
0.000 0.500 0.500
0.000 0.500 0.878
0.500 0.500 0.692
0.500 0.000 0.122
0.000 0.000 0.000
```

As for the space group: No. 123. Its total magnetization is 1.6 Bohr magnetons per cell. Its density is 8484 kg/m3. For the formation energy from the elements, the calculation gives -0.3886 eV/atom.

=====

Entry 3:
The following is a DFT calculation (PBE-GGA) of an optimized crystal structure of Ce2InIr.

POSCAR file:
```
Ce2InIr
1.0
-2.638 -2.161 -1.272
-4.180 -3.233 3.750
-7.085 8.821 -0.291
Ce Ir In
4 2 2
Direct
0.250 0.250 0.823
0.250 0.750 0.618
0.750 0.250 0.382
0.750 0.750 0.177
0.250 0.750 0.366
0.750 0.250 0.634
0.750 0.250 0.082
0.250 0.750 0.918
```

As for the space group: No. 51. As for the excess energy over the best structure of this formula in the dataset: 235 meV per atom. Its total magnetization is 3.4 Bohr magnetons per cell. Its density is 8832 kg/m3. For the formation energy from the elements, the calculation gives -0.3329 eV/atom.

=====

Entry 4:
The following is a DFT calculation (PBE-GGA) of an optimized crystal structure of LaCe2InIr.

POSCAR file:
```
LaCe2InIr
1.0
-4.613 -1.228 2.509
1.328 -5.225 -0.117
2.613 0.550 5.073
La Ce In Ir
1 2 1 1
Direct
0.000 0.000 0.500
0.000 0.500 0.999
0.500 0.000 0.999
0.500 0.500 0.502
0.000 0.000 0.000
```

As for the space group: No. 99. Its total magnetization is 2.0 Bohr magnetons per cell. Its density is 7233 kg/m3. For the formation energy from the elements, the calculation gives -0.3379 eV/atom.

=====

Entry 5:
The following is a DFT calculation (PBE-GGA) of an optimized crystal structure of Ce3Mg2In3Ir.

POSCAR file:
```
Ce3Mg2In3Ir
1.0
3.493 0.000 0.000
0.000 8.731 0.000
0.000 -4.366 7.562
Ir Ce In Mg
1 3 3 2
Direct
0.000 0.000 0.000
0.500 0.743 0.000
0.500 0.000 0.743
0.500 0.257 0.257
0.000 0.000 0.392
0.000 0.392 0.000
0.000 0.608 0.608
0.500 0.667 0.333
0.500 0.333 0.667
```

As for the space group: No. 189. Its total magnetization is 2.3 Bohr magnetons per cell. Its density is 7240 kg/m3. For the formation energy from the elements, the calculation gives -0.3336 eV/atom.

=====

Entry 6:
The following is a DFT calculation (PBE-GGA) of an optimized crystal structure of CeInNiIr.

POSCAR file:
```
CeInNiIr
1.0
4.743 0.000 0.000
2.372 4.108 0.000
2.372 1.369 3.873
Ir In Ni Ce
1 1 1 1
Direct
0.000 0.000 0.000
0.250 0.250 0.250
0.500 0.500 0.500
0.750 0.750 0.750
```

As for the space group: No. 216. Its total magnetization is 0.0 Bohr magnetons per cell. Its density is 11131 kg/m3. For the formation energy from the elements, the calculation gives -0.3844 eV/atom.